Material: Mg2ScPt
Method: DFT, PBE-GGA
State: relaxed

Lattice parameters (Å, degrees): 9.745 9.745 9.745 18.31 18.31 18.31
Fractional coordinates of all 4 atoms:
Mg 0.238 0.238 0.238
Mg 0.762 0.762 0.762
Sc 0.000 0.000 0.000
Pt 0.500 0.500 0.500

Output
Its formation energy is -98.8 kJ/mol of formula units. The space-group type is No. 166.

---

Material: MgScSi2Pt5
Method: DFT, PBE-GGA
State: relaxed

Lattice parameters (Å, degrees): 4.047 4.047 8.830 90.00 90.00 90.00
Fractional coordinates of all 9 atoms:
Mg 0.000 0.000 0.000
Sc 0.000 0.000 0.500
Si 0.500 0.500 0.371
Si 0.500 0.500 0.629
Pt 0.000 0.500 0.231
Pt 0.000 0.500 0.769
Pt 0.500 0.000 0.231
Pt 0.500 0.000 0.769
Pt 0.500 0.500 0.000

Output
The raw formation energy is -0.88 eV per atom. The space-group type is No. 123.

---

Material: MgScSi2Pt
Method: DFT, PBE-GGA
State: relaxed

Lattice parameters (Å, degrees): 4.846 4.846 5.229 90.00 90.00 90.00
Fractional coordinates of all 5 atoms:
Mg 0.000 0.000 0.000
Sc 0.000 0.000 0.500
Si 0.000 0.500 0.500
Si 0.500 0.000 0.500
Pt 0.500 0.500 0.000

Output
The raw formation energy is 1.18 eV per atom. The space-group type is No. 123.

---

Material: SmMgSc2Pt2
Method: DFT, PBE-GGA
State: relaxed

Lattice parameters (Å, degrees): 4.747 4.747 6.508 90.00 90.00 120.00
Fractional coordinates of all 6 atoms:
Sm 0.000 0.000 0.000
Mg 0.000 0.000 0.500
Sc 0.333 0.667 0.674
Sc 0.667 0.333 0.326
Pt 0.333 0.667 0.258
Pt 0.667 0.333 0.742

Output
Its formation energy is -523.6 kJ/mol of formula units. The space-group type is No. 164.

---

Material: SmMgSc2Pt4
Method: DFT, PBE-GGA
State: relaxed

Lattice parameters (Å, degrees): 8.796 8.796 8.796 30.24 30.24 30.24
Fractional coordinates of all 8 atoms:
Sm 0.000 0.000 0.000
Mg 0.500 0.500 0.500
Sc 0.240 0.240 0.240
Sc 0.760 0.760 0.760
Pt 0.128 0.128 0.128
Pt 0.394 0.394 0.394
Pt 0.606 0.606 0.606
Pt 0.872 0.872 0.872

Output
Its formation energy is -851.8 kJ/mol of formula units. The space-group type is No. 166.

---

Material: MgSc2SnPt
Method: DFT, PBE-GGA
State: relaxed

Lattice parameters (Å, degrees): 5.129 5.129 5.093 90.00 90.00 90.00
Fractional coordinates of all 5 atoms:
Mg 0.000 0.000 0.000
Sc 0.000 0.500 0.500
Sc 0.500 0.000 0.500
Sn 0.500 0.500 0.000
Pt 0.500 0.500 0.500

Output
Its formation energy is -107.7 kJ/mol of formula units. The space-group type is No. 123.

---

Material: SrMgScPt2
Method: DFT, PBE-GGA
State: relaxed

Lattice parameters (Å, degrees): 6.712 6.712 6.712 142.02 142.02 54.80
Fractional coordinates of all 5 atoms:
Sr 0.000 0.000 0.000
Mg 0.750 0.250 0.500
Sc 0.250 0.750 0.500
Pt 0.386 0.386 0.000
Pt 0.614 0.614 0.000

Output
Its formation energy is -448.1 kJ/mol of formula units. The space-group type is No. 119.

---

Material: TbMgSc2Pt4
Method: DFT, PBE-GGA
State: relaxed

Lattice parameters (Å, degrees): 8.475 8.475 8.475 31.68 31.68 31.68
Fractional coordinates of all 8 atoms:
Tb 0.000 0.000 0.000
Mg 0.500 0.500 0.500
Sc 0.243 0.243 0.243
Sc 0.757 0.757 0.757
Pt 0.125 0.125 0.125
Pt 0.388 0.388 0.388
Pt 0.612 0.612 0.612
Pt 0.875 0.875 0.875

Output
Its formation energy is -868.0 kJ/mol of formula units. The space-group type is No. 166.

---

Material: ThMgSc2Pt2
Method: DFT, PBE-GGA
State: relaxed

Lattice parameters (Å, degrees): 4.724 4.724 6.629 90.00 90.00 120.00
Fractional coordinates of all 6 atoms:
Th 0.000 0.000 0.000
Mg 0.000 0.000 0.500
Sc 0.333 0.667 0.668
Sc 0.667 0.333 0.332
Pt 0.333 0.667 0.251
Pt 0.667 0.333 0.749

Output
Its formation energy is -513.5 kJ/mol of formula units. The space-group type is No. 164.

---

Material: TmMgScPt
Method: DFT, PBE-GGA
State: relaxed

Lattice parameters (Å, degrees): 4.906 4.906 4.906 60.00 60.00 60.00
Fractional coordinates of all 4 atoms:
Tm 0.000 0.000 0.000
Mg 0.250 0.250 0.250
Sc 0.500 0.500 0.500
Pt 0.750 0.750 0.750

Output
Its formation energy is -241.0 kJ/mol of formula units. The space-group type is No. 216.

---

Material: MgSc2ZnPt4
Method: DFT, PBE-GGA
State: relaxed

Lattice parameters (Å, degrees): 7.885 7.885 7.885 33.49 33.49 33.49
Fractional coordinates of all 8 atoms:
Mg 0.000 0.000 0.000
Sc 0.248 0.248 0.248
Sc 0.752 0.752 0.752
Zn 0.500 0.500 0.500
Pt 0.125 0.125 0.125
Pt 0.375 0.375 0.375
Pt 0.625 0.625 0.625
Pt 0.875 0.875 0.875

Output
Its formation energy is -774.2 kJ/mol of formula units. The space-group type is No. 166.

---

Material: Mg2Sc5ZnPt2
Method: DFT, PBE-GGA
State: relaxed

Lattice parameters (Å, degrees): 11.130 11.130 3.467 90.00 90.00 90.00
Fractional coordinates of all 20 atoms:
Mg 0.175 0.325 0.000
Mg 0.325 0.825 0.000
Mg 0.675 0.175 0.000
Mg 0.825 0.675 0.000
Sc 0.000 0.500 0.500
Sc 0.068 0.804 0.500
Sc 0.196 0.068 0.500
Sc 0.304 0.568 0.500
Sc 0.432 0.304 0.500
Sc 0.500 0.000 0.500
Sc 0.568 0.696 0.500
Sc 0.696 0.432 0.500
Sc 0.804 0.932 0.500
Sc 0.932 0.196 0.500
Zn 0.000 0.000 0.000
Zn 0.500 0.500 0.000
Pt 0.133 0.633 0.000
Pt 0.367 0.133 0.000
Pt 0.633 0.867 0.000
Pt 0.867 0.367 0.000

Output
Its formation energy is -590.1 kJ/mol of formula units. The space-group type is No. 127.

---

Material: MgScZn2Pt
Method: DFT, PBE-GGA
State: relaxed

Lattice parameters (Å, degrees): 4.641 4.641 4.743 90.00 90.00 90.00
Fractional coordinates of all 5 atoms:
Mg 0.000 0.000 0.000
Sc 0.500 0.500 0.500
Zn 0.000 0.500 0.000
Zn 0.500 0.000 0.000
Pt 0.000 0.000 0.500

Output
Its formation energy is 133.4 kJ/mol of formula units. The space-group type is No. 123.